First-principles (PBE) data for Tl7BiH12 after structural relaxation, as listed in Alexandria via LeMat-Bulk.

a b c (Å): 7.0767 8.1866 8.1871
angles (deg): 112.03 106.74 106.76
Last column: nearest neighbours and their distance in Å.
Element x y z (fractional)
Tl 0.0000 0.0000 0.0000  4 H 3.04-3.14, 1 Bi 3.31, 5 Tl 3.31-3.39
Tl 0.0493 0.4015 0.3555  4 H 3.05-3.22, 1 Bi 3.30, 5 Tl 3.31-3.41
Tl 0.1774 0.8795 0.6537  4 H 3.02-3.20, 1 Bi 3.30, 3 Tl 3.31-3.35
Tl 0.3498 0.1767 0.4748  4 H 3.01-3.16, 1 Bi 3.31, 3 Tl 3.31-3.36
Tl 0.5294 0.7116 0.1776  12 H 2.82-2.97
Tl 0.7020 0.2233 0.8768  4 H 3.05-3.20, 1 Bi 3.30, 5 Tl 3.31-3.41
Tl 0.8713 0.5243 0.7002  4 H 3.07-3.16, 1 Bi 3.30, 5 Tl 3.31-3.40
Bi 0.0245 0.6991 0.1766  8 Tl 3.30-3.54, 6 H 3.62-3.69
H 0.1660 0.3554 0.8615  1 H 0.77
H 0.2407 0.3145 0.8268  1 H 0.77
H 0.4246 0.6641 0.7829  1 H 0.77
H 0.4598 0.3541 0.2141  1 H 0.77
H 0.4769 0.0296 0.1468  1 H 0.77
H 0.5099 0.7325 0.5245  1 H 0.77
H 0.5404 0.6702 0.8227  1 H 0.77
H 0.5693 0.3893 0.2081  1 H 0.77
H 0.5863 0.0625 0.1398  1 H 0.77
H 0.6256 0.7388 0.5656  1 H 0.77
H 0.8223 0.0967 0.5353  1 H 0.77
H 0.8983 0.0563 0.5022  1 H 0.77

Summary:
Space group: P1, No. 1
Total DFT energy (no corrections): -58.23 eV per cell

First-principles (PBE) data for Sr2MgHRh after structural relaxation, as listed in Alexandria via LeMat-Bulk.

a b c (Å): 6.0483 6.0483 3.6381
angles (deg): 90.00 90.00 90.00
Last column: nearest neighbours and their distance in Å.
Element x y z (fractional)
Sr 0.0000 0.5000 0.0000  2 Mg 3.02
Sr 0.5000 0.0000 0.0000  2 Mg 3.02
Mg 0.0000 0.0000 0.0000  2 H 1.82
H 0.0000 0.0000 0.5000  2 Mg 1.82
Rh 0.5000 0.5000 0.5000  8 Sr 3.53, 2 Rh 3.64

Summary:
Space group: P4/mmm, No. 123
Energy relative to the lowest polymorph listed for this composition: 3.522 eV per formula unit

First-principles (PBE) data for CsLi3Cl after structural relaxation, as listed in Alexandria via LeMat-Bulk.

a b c (Å): 6.8257 6.8257 6.8257
angles (deg): 90.00 90.00 90.00
Last column: nearest neighbours and their distance in Å.
Element x y z (fractional)
Cs 0.0000 0.0000 0.0000  6 Li 3.41
Li 0.0000 0.0000 0.5000  2 Cs 3.41
Li 0.0000 0.5000 0.0000  2 Cs 3.41
Li 0.5000 0.0000 0.0000  2 Cs 3.41
Cl 0.5000 0.5000 0.5000  12 Li 4.83

Summary:
Space group: Pm-3m, No. 221
Energy relative to the lowest polymorph listed for this composition: 4.211 eV per formula unit
Uncorrected formation energy: 2.76 eV/f.u.

First-principles (PBE) data for AcZnCu2 after structural relaxation, as listed in Alexandria via LeMat-Bulk.

a b c (Å): 3.3937 3.3937 6.9117
angles (deg): 90.00 90.00 90.00
Last column: nearest neighbours and their distance in Å.
Element x y z (fractional)
Ac 0.0000 0.0000 0.0000  8 Cu 3.26, 4 Ac 3.39, 2 Zn 3.46
Zn 0.0000 0.0000 0.5000  8 Cu 2.70
Cu 0.5000 0.5000 0.3200  1 Cu 2.49, 4 Zn 2.70
Cu 0.5000 0.5000 0.6800  1 Cu 2.49, 4 Zn 2.70

Summary:
Space group: P4/mmm, No. 123
Total DFT energy (no corrections): -13.37 eV per cell

First-principles (PBE) data for NaSr5Mg4 after structural relaxation, as listed in Alexandria via LeMat-Bulk.

a b c (Å): 4.1855 4.1855 21.8763
angles (deg): 90.00 90.00 90.00
Last column: nearest neighbours and their distance in Å.
Element x y z (fractional)
Na 0.0000 0.0000 0.0000  8 Sr 3.93, 4 Na 4.19
Sr 0.5000 0.5000 0.1183  4 Mg 3.61, 4 Na 3.93
Sr 0.5000 0.5000 0.3089  8 Mg 3.63
Sr 0.5000 0.5000 0.5000  8 Mg 3.62
Sr 0.5000 0.5000 0.6911  8 Mg 3.63
Sr 0.5000 0.5000 0.8817  4 Mg 3.61, 4 Na 3.93
Mg 0.0000 0.0000 0.2130  8 Sr 3.61-3.63
Mg 0.0000 0.0000 0.4047  8 Sr 3.62-3.63
Mg 0.0000 0.0000 0.5953  8 Sr 3.62-3.63
Mg 0.0000 0.0000 0.7870  8 Sr 3.61-3.63

Summary:
Space group: P4/mmm, No. 123
Total DFT energy (no corrections): -16.55 eV per cell

First-principles (PBE) data for Tb2Sm2HoEr4 after structural relaxation, as listed in Alexandria via LeMat-Bulk.

a b c (Å): 9.4550 9.4550 9.5069
angles (deg): 115.24 115.24 21.80
Last column: nearest neighbours and their distance in Å.
Element x y z (fractional)
Tb 0.1473 0.1473 0.1632  7 Er 3.48-3.58, 3 Sm 3.55-3.56, 2 Tb 3.58
Tb 0.8527 0.8527 0.8368  7 Er 3.48-3.58, 3 Sm 3.55-3.56, 2 Tb 3.58
Sm 0.3343 0.3343 0.4997  3 Er 3.52-3.53, 3 Tb 3.55-3.56, 2 Ho 3.56, 4 Sm 3.58-3.61
Sm 0.6657 0.6657 0.5003  3 Er 3.52-3.53, 3 Tb 3.55-3.56, 2 Ho 3.56, 4 Sm 3.58-3.61
Ho 0.0000 0.0000 0.5000  6 Er 3.53, 4 Sm 3.56, 2 Ho 3.58
Er 0.1853 0.1853 0.8357  3 Tb 3.48-3.58, 6 Er 3.50-3.58, 1 Ho 3.53, 2 Sm 3.53
Er 0.4807 0.4807 0.1659  4 Tb 3.49-3.58, 1 Sm 3.52, 5 Er 3.52-3.58, 2 Ho 3.53
Er 0.5193 0.5193 0.8341  4 Tb 3.49-3.58, 1 Sm 3.52, 5 Er 3.52-3.58, 2 Ho 3.53
Er 0.8147 0.8147 0.1643  3 Tb 3.48-3.58, 6 Er 3.50-3.58, 1 Ho 3.53, 2 Sm 3.53

Summary:
Space group: C2/m, No. 12
Total DFT energy (no corrections): -41.55 eV per cell

First-principles (PBE) data for AlZn2Ag9 after structural relaxation, as listed in Alexandria via LeMat-Bulk.

a b c (Å): 4.0879 4.0879 12.2890
angles (deg): 90.00 90.00 90.00
Last column: nearest neighbours and their distance in Å.
Element x y z (fractional)
Al 0.0000 0.0000 0.0000  12 Ag 2.88-2.89
Zn 0.0000 0.0000 0.3320  12 Ag 2.89-2.91
Zn 0.0000 0.0000 0.6680  12 Ag 2.89-2.91
Ag 0.0000 0.5000 0.1657  8 Ag 2.88-2.90, 2 Al 2.88, 2 Zn 2.89
Ag 0.0000 0.5000 0.5000  8 Ag 2.89-2.90, 4 Zn 2.91
Ag 0.0000 0.5000 0.8343  8 Ag 2.88-2.90, 2 Al 2.88, 2 Zn 2.89
Ag 0.5000 0.0000 0.1657  8 Ag 2.88-2.90, 2 Al 2.88, 2 Zn 2.89
Ag 0.5000 0.0000 0.5000  8 Ag 2.89-2.90, 4 Zn 2.91
Ag 0.5000 0.0000 0.8343  8 Ag 2.88-2.90, 2 Al 2.88, 2 Zn 2.89
Ag 0.5000 0.5000 0.0000  8 Ag 2.88, 4 Al 2.89
Ag 0.5000 0.5000 0.3332  4 Zn 2.89, 8 Ag 2.90
Ag 0.5000 0.5000 0.6668  4 Zn 2.89, 8 Ag 2.90

Summary:
Space group: P4/mmm, No. 123
Total DFT energy (no corrections): -32.12 eV per cell

First-principles (PBE) data for Pm4TlSi after structural relaxation, as listed in Alexandria via LeMat-Bulk.

a b c (Å): 7.6077 7.2987 7.2521
angles (deg): 90.00 90.46 90.00
Last column: nearest neighbours and their distance in Å.
Element x y z (fractional)
Pm 0.1485 0.1667 0.3300  2 Si 2.91-2.96, 1 Tl 3.18
Pm 0.1485 0.3333 0.8300  2 Si 2.91-2.96, 1 Tl 3.18
Pm 0.3191 0.6510 0.3547  1 Si 2.87, 2 Tl 3.08-3.13
Pm 0.3191 0.8490 0.8547  1 Si 2.87, 2 Tl 3.08-3.13
Pm 0.6809 0.1510 0.1453  1 Si 2.87, 2 Tl 3.08-3.13
Pm 0.6809 0.3490 0.6453  1 Si 2.87, 2 Tl 3.08-3.13
Pm 0.8515 0.6667 0.1700  2 Si 2.91-2.96, 1 Tl 3.18
Pm 0.8515 0.8333 0.6700  2 Si 2.91-2.96, 1 Tl 3.18
Tl 0.5000 0.0000 0.5000  6 Pm 3.08-3.18
Tl 0.5000 0.5000 0.0000  6 Pm 3.08-3.18
Si 0.0000 0.0000 0.0000  6 Pm 2.87-2.96
Si 0.0000 0.5000 0.5000  6 Pm 2.87-2.96

Summary:
Space group: P2_1/c, No. 14
Uncorrected formation energy: -1.08 eV/f.u.